[1]
DFT (GGA-PBEsol) results for crystalline NaSbC3 at its relaxed geometry.

Unit cell a=4.294 b=4.294 c=4.294 alpha=90.00 beta=90.00 gamma=90.00
Positions (direct):
Na  0.500  0.500  0.500
C  0.000  0.500  0.000
C  0.500  0.000  0.000
C  0.000  0.000  0.500
Sb  0.000  0.000  0.000

Summary:
Space-group type: Pm-3m
E_form (uncorrected) in meV per atom: 2584
DOS at the Fermi energy in states/eV per atom: 0.71
Magnetization in Bohr magnetons per cell: 0.00

[2]
DFT (GGA-PBEsol) results for crystalline LaReRu2 at its relaxed geometry.

Unit cell a=2.819 b=2.819 c=9.797 alpha=81.73 beta=81.73 gamma=60.00
Positions (direct):
Ru  0.749  0.749  0.752
La  0.585  0.585  0.246
Re  0.153  0.153  0.540
Ru  0.013  0.013  0.962

Summary:
ΔH_f (0 K) in eV per atom: 0.480
Space-group type: R3m
Energy above the lowest structure with this stoichiometry in eV per atom: 0.0728
DOS at the Fermi energy in states/eV per atom: 1.06
Magnetization in Bohr magnetons per cell: 0.00

[3]
DFT (GGA-PBEsol) results for crystalline AgHI2O at its relaxed geometry.

Unit cell a=3.859 b=5.687 c=5.687 alpha=90.00 beta=90.00 gamma=90.00
Site moments in Bohr magnetons follow the coordinates.
Positions (direct):
H  0.500  0.500  0.500  0.33
I  0.000  0.000  0.500  0.14
O  0.500  0.000  0.000  0.46
I  0.000  0.500  0.000  0.14
Ag  0.000  0.000  0.000  0.14

Summary:
Space-group type: P4/mmm
DOS at the Fermi energy in states/eV per atom: 1.34
Total DFT energy (no corrections) in eV for the cell shown: -11.6
Magnetization in Bohr magnetons per cell: 1.89

[4]
DFT (GGA-PBEsol) results for crystalline LiMgHg4 at its relaxed geometry.

Unit cell a=5.772 b=5.772 c=5.772 alpha=60.00 beta=60.00 gamma=60.00
Positions (direct):
Li  0.750  0.750  0.750
Hg  0.375  0.375  0.874
Hg  0.375  0.375  0.375
Hg  0.874  0.375  0.375
Hg  0.375  0.874  0.375
Mg  0.000  0.000  0.000

Summary:
ΔH_f (0 K) in eV per atom: -0.061
Space-group type: F-43m
DOS at the Fermi energy in states/eV per atom: 0.56
Magnetization in Bohr magnetons per cell: 0.00

[5]
DFT (GGA-PBEsol) results for crystalline NaPmAu2 at its relaxed geometry.

Unit cell a=4.977 b=4.977 c=4.977 alpha=60.00 beta=60.00 gamma=60.00
Positions (direct):
Na  0.500  0.500  0.500
Pm  0.000  0.000  0.000
Au  0.250  0.250  0.250
Au  0.750  0.750  0.750

Summary:
ΔH_f (0 K) in eV per atom: -0.539
Space-group type: Fm-3m
DOS at the Fermi energy in states/eV per atom: 0.48
Magnetization in Bohr magnetons per cell: 0.00

[6]
DFT (GGA-PBEsol) results for crystalline BaFeSi2 at its relaxed geometry.

Unit cell a=3.509 b=3.643 c=6.457 alpha=90.00 beta=90.00 gamma=90.00
Site moments in Bohr magnetons follow the coordinates.
Positions (direct):
Si  0.500  0.875  0.166  -0.02
Si  0.000  0.875  0.916  0.01
Ba  0.000  0.375  0.471  -0.01
Fe  0.500  0.375  0.947  1.60

Summary:
Space-group type: Pmm2
E_form (uncorrected) in meV per atom: -31
DOS at the Fermi energy in states/eV per atom: 0.88
Magnetization in Bohr magnetons per cell: 1.61

[7]
DFT (GGA-PBEsol) results for crystalline RbAlSbI2 at its relaxed geometry.

Unit cell a=5.268 b=5.839 c=5.839 alpha=90.00 beta=90.00 gamma=90.00
Site moments in Bohr magnetons follow the coordinates.
Positions (direct):
I  0.000  0.500  0.000  0.05
Rb  0.500  0.500  0.500  0.00
Al  0.000  0.000  0.000  0.00
Sb  0.500  0.000  0.000  0.25
I  0.000  0.000  0.500  0.05

Summary:
Space-group type: P4/mmm
E_form (uncorrected) in meV per atom: -369
DOS at the Fermi energy in states/eV per atom: 0.71
Magnetization in Bohr magnetons per cell: 0.81

[8]
DFT (GGA-PBEsol) results for crystalline Sc3CdH at its relaxed geometry.

Unit cell a=4.440 b=4.440 c=4.440 alpha=90.00 beta=90.00 gamma=90.00
Site moments in Bohr magnetons follow the coordinates.
Positions (direct):
Sc  0.000  0.500  0.000  0.36
Sc  0.000  0.000  0.500  0.36
Cd  0.500  0.500  0.500  0.00
H  0.000  0.000  0.000  -0.01
Sc  0.500  0.000  0.000  0.36

Summary:
Space-group type: Pm-3m
DOS at the Fermi energy in states/eV per atom: 1.08
Total DFT energy (no corrections) in eV for the cell shown: -25.8
Magnetization in Bohr magnetons per cell: 1.53

[9]
DFT (GGA-PBEsol) results for crystalline TlRh2Se at its relaxed geometry.

Unit cell a=4.572 b=4.572 c=4.572 alpha=60.00 beta=60.00 gamma=60.00
Positions (direct):
Rh  0.000  0.000  0.000
Rh  0.750  0.750  0.750
Tl  0.250  0.250  0.250
Se  0.500  0.500  0.500

Summary:
Space-group type: F-43m
E_form (uncorrected) in meV per atom: 449
DOS at the Fermi energy in states/eV per atom: 1.30
Magnetization in Bohr magnetons per cell: 0.00

[10]
DFT (GGA-PBEsol) results for crystalline ScAgOs2 at its relaxed geometry.

Unit cell a=3.845 b=3.845 c=5.045 alpha=112.40 beta=112.40 gamma=90.00
Positions (direct):
Sc  0.500  0.500  0.000
Ag  0.000  0.000  0.000
Os  0.750  0.250  0.500
Os  0.250  0.750  0.500

Summary:
ΔH_f (0 K) in eV per atom: 0.312
Space-group type: I4/mmm
Energy above the lowest structure with this stoichiometry in eV per atom: 0.1416
DOS at the Fermi energy in states/eV per atom: 1.27
Magnetization in Bohr magnetons per cell: 0.00

[11]
DFT (GGA-PBEsol) results for crystalline Li2PtW at its relaxed geometry.

Unit cell a=4.136 b=4.136 c=4.136 alpha=60.00 beta=60.00 gamma=60.00
Site moments in Bohr magnetons follow the coordinates.
Positions (direct):
Pt  0.000  0.000  0.000  -0.02
Li  0.750  0.750  0.750  0.00
Li  0.250  0.250  0.250  0.00
W  0.500  0.500  0.500  0.45

Summary:
ΔH_f (0 K) in eV per atom: 0.525
Space-group type: Fm-3m
Energy above the lowest structure with this stoichiometry in eV per atom: 0.5313
DOS at the Fermi energy in states/eV per atom: 0.89
Magnetization in Bohr magnetons per cell: 0.50

[12]
DFT (GGA-PBEsol) results for crystalline KPIr2 at its relaxed geometry.

Unit cell a=2.868 b=2.876 c=8.293 alpha=90.00 beta=92.92 gamma=90.00
Positions (direct):
K  0.500  0.500  0.000
Ir  0.047  0.000  0.330
Ir  0.953  0.000  0.670
P  0.500  0.500  0.500

Summary:
ΔH_f (0 K) in eV per atom: 0.223
Space-group type: P2/m
DOS at the Fermi energy in states/eV per atom: 0.45
Magnetization in Bohr magnetons per cell: 0.00

[13]
DFT (GGA-PBEsol) results for crystalline Al2Te3 at its relaxed geometry.

Unit cell a=3.978 b=3.978 c=9.893 alpha=90.00 beta=90.00 gamma=120.00
Positions (direct):
Al  0.333  0.667  0.812
Te  0.333  0.667  0.329
Te  0.667  0.333  0.671
Te  0.000  0.000  0.000
Al  0.667  0.333  0.188

Summary:
Space-group type: P-3m1
E_form (uncorrected) in meV per atom: -333
DOS at the Fermi energy in states/eV per atom: 0.44
Magnetization in Bohr magnetons per cell: 0.00

[14]
DFT (GGA-PBEsol) results for crystalline CsCuHg3 at its relaxed geometry.

Unit cell a=5.193 b=5.193 c=5.193 alpha=90.00 beta=90.00 gamma=90.00
Positions (direct):
Cu  0.000  0.000  0.000
Cs  0.500  0.500  0.500
Hg  0.500  0.000  0.000
Hg  0.000  0.000  0.500
Hg  0.000  0.500  0.000

Summary:
ΔH_f (0 K) in eV per atom: -0.087
Space-group type: Pm-3m
Energy above the lowest structure with this stoichiometry in eV per atom: 0.0000
DOS at the Fermi energy in states/eV per atom: 0.39
Magnetization in Bohr magnetons per cell: 0.00

[15]
DFT (GGA-PBEsol) results for crystalline Mg2MnO at its relaxed geometry.

Unit cell a=5.607 b=5.607 c=5.607 alpha=103.82 beta=112.37 gamma=112.37
Site moments in Bohr magnetons follow the coordinates.
Positions (direct):
Mg  0.115  0.875  0.490  -0.01
O  0.500  0.250  0.750  0.04
Mn  0.000  0.000  0.000  3.93
Mg  0.385  0.510  0.625  -0.01
O  0.000  0.500  0.500  0.04
Mg  0.885  0.375  0.760  -0.01
Mn  0.500  0.750  0.250  3.93
Mg  0.615  0.240  0.125  -0.01

Summary:
Space-group type: I-42d
E_form (uncorrected) in meV per atom: -569
DOS at the Fermi energy in states/eV per atom: 0.61
Magnetization in Bohr magnetons per cell: 8.42

[16]
DFT (GGA-PBEsol) results for crystalline Ba2TaMoC at its relaxed geometry.

Unit cell a=4.562 b=6.261 c=6.261 alpha=90.00 beta=90.00 gamma=90.00
Site moments in Bohr magnetons follow the coordinates.
Positions (direct):
C  0.500  0.500  0.500  0.95
Ta  0.000  0.000  0.000  0.26
Mo  0.500  0.000  0.000  -0.82
Ba  0.000  0.500  0.000  0.02
Ba  0.000  0.000  0.500  0.02

Summary:
ΔH_f (0 K) in eV per atom: 2.280
Space-group type: P4/mmm
DOS at the Fermi energy in states/eV per atom: 0.98
Magnetization in Bohr magnetons per cell: 1.46

[17]
DFT (GGA-PBEsol) results for crystalline RuPt2Rh at its relaxed geometry.

Unit cell a=4.343 b=4.343 c=4.343 alpha=60.00 beta=60.00 gamma=60.00
Site moments in Bohr magnetons follow the coordinates.
Positions (direct):
Pt  0.750  0.750  0.750  0.01
Rh  0.000  0.000  0.000  0.00
Pt  0.250  0.250  0.250  0.01
Ru  0.500  0.500  0.500  0.12

Summary:
ΔH_f (0 K) in eV per atom: 0.332
Space-group type: Fm-3m
Energy above the lowest structure with this stoichiometry in eV per atom: 0.3688
DOS at the Fermi energy in states/eV per atom: 1.37
Magnetization in Bohr magnetons per cell: 0.14

[18]
DFT (GGA-PBEsol) results for crystalline AsSeBr3F6 at its relaxed geometry.

Unit cell a=7.805 b=9.722 c=12.178 alpha=90.00 beta=99.16 gamma=90.00
Positions (direct):
Br  0.278  0.445  0.357
F  0.730  0.388  0.458
Br  0.278  0.055  0.857
Br  0.722  0.555  0.643
F  0.128  0.706  0.697
F  0.730  0.112  0.958
Se  0.194  0.323  0.197
F  0.019  0.229  0.999
F  0.759  0.343  0.051
F  0.609  0.180  0.354
Br  0.437  0.335  0.111
Br  0.786  0.903  0.747
F  0.872  0.294  0.303
F  0.270  0.612  0.542
F  0.872  0.206  0.803
Br  0.563  0.665  0.889
F  0.391  0.680  0.146
F  0.981  0.729  0.501
F  0.981  0.771  0.001
F  0.391  0.820  0.646
F  0.609  0.320  0.854
Se  0.194  0.177  0.697
Br  0.786  0.597  0.247
F  0.759  0.157  0.551
F  0.241  0.843  0.449
F  0.103  0.564  0.105
As  0.188  0.773  0.574
Se  0.806  0.823  0.303
F  0.897  0.064  0.395
F  0.103  0.936  0.605
As  0.812  0.273  0.926
F  0.241  0.657  0.949
F  0.270  0.888  0.042
Br  0.214  0.097  0.253
Br  0.437  0.165  0.611
F  0.019  0.271  0.499
F  0.897  0.436  0.895
Br  0.563  0.835  0.389
F  0.128  0.794  0.197
Se  0.806  0.677  0.803
As  0.812  0.227  0.426
Br  0.722  0.945  0.143
As  0.188  0.727  0.074
Br  0.214  0.403  0.753

Summary:
Space-group type: P2_1/c
E_form (uncorrected) in meV per atom: -1425
DOS at the Fermi energy in states/eV per atom: 0.00
Magnetization in Bohr magnetons per cell: 0.00

[19]
DFT (GGA-PBEsol) results for crystalline ScTiZn2Rh at its relaxed geometry.

Unit cell a=4.342 b=4.745 c=4.745 alpha=90.00 beta=90.00 gamma=90.00
Positions (direct):
Zn  0.000  0.500  0.000
Rh  0.500  0.000  0.000
Zn  0.000  0.000  0.500
Sc  0.500  0.500  0.500
Ti  0.000  0.000  0.000

Summary:
ΔH_f (0 K) in eV per atom: 0.411
Space-group type: P4/mmm
DOS at the Fermi energy in states/eV per atom: 0.92
Magnetization in Bohr magnetons per cell: 0.00

[20]
DFT (GGA-PBEsol) results for crystalline Al2CdFe at its relaxed geometry.

Unit cell a=2.862 b=2.862 c=8.856 alpha=80.70 beta=80.70 gamma=60.00
Site moments in Bohr magnetons follow the coordinates.
Positions (direct):
Al  0.736  0.736  0.793  -0.02
Al  0.264  0.264  0.207  -0.02
Cd  0.500  0.500  0.500  0.00
Fe  0.000  0.000  0.000  1.38

Summary:
ΔH_f (0 K) in eV per atom: 0.022
Space-group type: R-3m
DOS at the Fermi energy in states/eV per atom: 0.90
Magnetization in Bohr magnetons per cell: 1.28